VASP calculation (GGA-PBE) on BaNb2O6 after structural relaxation.

CIF file:
```
data_BaNb2O6
_chemical_formula_sum 'Ba2 Nb4 O12'
_space_group_name_H-M_alt 'P m m a'
_space_group_IT_number 51
_cell_length_a 10.7005
_cell_length_b 3.9790
_cell_length_c 6.2314
_cell_angle_alpha 90.00
_cell_angle_beta 90.00
_cell_angle_gamma 90.00
loop_
_space_group_symop_operation_xyz
'x,y,z'
'-x,-y,-z'
'-x+1/2,-y,z'
'x+1/2,y,-z'
'x+1/2,-y,-z'
'-x+1/2,y,z'
'-x,y,-z'
'x,-y,z'
loop_
_atom_site_label
_atom_site_fract_x
_atom_site_fract_y
_atom_site_fract_z
Ba1 0.2500 0.0000 0.1868
Nb1 0.0782 0.5000 0.7149
O1 0.0000 0.5000 0.0000
O2 0.0860 0.0000 0.7194
O3 0.1075 0.5000 0.3954
O4 0.2500 0.5000 0.8457
```

Output
**Uncorrected energy**: -8.48 eV/atom

***

VASP calculation (GGA-PBE) on BaNbO2 after structural relaxation.

CIF file:
```
data_BaNbO2
_chemical_formula_sum 'Ba3 Nb3 O6'
_space_group_name_H-M_alt 'R -3 m'
_space_group_IT_number 166
_space_group_name_Hall '-R 3 2"'
_cell_length_a 3.5244
_cell_length_b 3.5244
_cell_length_c 19.8034
_cell_angle_alpha 90.00
_cell_angle_beta 90.00
_cell_angle_gamma 120.00
loop_
_atom_site_label
_atom_site_fract_x
_atom_site_fract_y
_atom_site_fract_z
Ba1 0.0000 0.0000 0.0000
Nb1 0.0000 0.0000 0.5000
O1 0.0000 0.0000 0.1301
```

Output
**Uncorrected energy**: -7.08 eV/atom
**Polymorph energy (0 for the lowest one)**: 256 meV per atom

***

VASP calculation (GGA-PBE) on Ba5Nb2O11 after structural relaxation.

CIF file:
```
data_Ba5Nb2O11
_chemical_formula_sum 'Ba20 Nb8 O44'
_space_group_name_H-M_alt 'C 1 2/c 1'
_space_group_IT_number 15
_cell_length_a 6.1903
_cell_length_b 10.6243
_cell_length_c 18.5976
_cell_angle_alpha 90.00
_cell_angle_beta 91.88
_cell_angle_gamma 90.00
loop_
_space_group_symop_operation_xyz
'x,y,z'
'-x,-y,-z'
'-x,y,-z+1/2'
'x,-y,z+1/2'
'x+1/2,y+1/2,z'
'-x+1/2,-y+1/2,-z'
'-x+1/2,y+1/2,-z+1/2'
'x+1/2,-y+1/2,z+1/2'
loop_
_atom_site_label
_atom_site_fract_x
_atom_site_fract_y
_atom_site_fract_z
Ba1 0.0000 0.1609 0.2500
Ba2 0.0053 0.4994 0.3608
Ba3 0.0121 0.1645 0.4757
Nb1 0.0082 0.1671 0.6697
O1 0.0000 0.3147 0.7500
O2 0.0373 0.0054 0.6243
O3 0.1045 0.4631 0.5013
O4 0.1972 0.2427 0.8967
O5 0.2195 0.0962 0.7599
O6 0.2336 0.2577 0.3696
```

Output
**Uncorrected energy**: -7.32 eV/atom

***

VASP calculation (GGA-PBE) on Ba2Nb5O9 after structural relaxation.

CIF file:
```
data_Ba2Nb5O9
_chemical_formula_sum 'Ba2 Nb5 O9'
_space_group_name_H-M_alt 'P 4/m m m'
_space_group_IT_number 123
_space_group_name_Hall '-P 4 2'
_cell_length_a 4.2279
_cell_length_b 4.2279
_cell_length_c 12.3998
_cell_angle_alpha 90.00
_cell_angle_beta 90.00
_cell_angle_gamma 90.00
loop_
_atom_site_label
_atom_site_fract_x
_atom_site_fract_y
_atom_site_fract_z
Ba1 0.0000 0.0000 0.1676
Nb1 0.0000 0.5000 0.5000
Nb2 0.5000 0.5000 0.0000
Nb3 0.5000 0.5000 0.3371
O1 0.0000 0.0000 0.5000
O2 0.0000 0.5000 0.0000
O3 0.0000 0.5000 0.3277
O4 0.5000 0.5000 0.1613
```

Output
**Uncorrected energy**: -8.67 eV/atom

***

The highest uncorrected energy belongs to which entry? BaNbO2